No. 1
Below is a geometry-optimized PmPuCd14 structure, with properties calculated at the PBE level.

POSCAR file:
```
PmPuCd14
1.0
-1.521 3.690 5.406
-0.621 -5.607 3.650
8.126 0.407 2.008
Pm Pu Cd
1 1 14
Direct
0.375 0.375 0.500 Pm
0.875 0.875 0.500 Pu
0.875 0.875 0.000 Cd
0.375 0.375 0.000 Cd
0.875 0.375 0.500 Cd
0.875 0.375 0.000 Cd
0.375 0.875 0.500 Cd
0.375 0.875 0.000 Cd
0.626 0.124 0.238 Cd
0.626 0.124 0.762 Cd
0.124 0.626 0.238 Cd
0.124 0.626 0.762 Cd
0.626 0.626 0.238 Cd
0.626 0.626 0.762 Cd
0.124 0.124 0.238 Cd
0.124 0.124 0.762 Cd
```

Values from the calculation:
The formation enthalpy at 0 K comes out at -87 meV/atom. The calculated volume is 378 Å³ per cell. Its total magnetization is 5.8 μB/f.u.

***

No. 2
Below is a geometry-optimized Na2HoSO6 structure, with properties calculated at the PBE level.

POSCAR file:
```
Na2HoSO6
1.0
5.581 0.000 0.000
0.000 5.757 0.000
0.000 -2.878 4.985
Na Ho S O
2 1 1 6
Direct
0.041 0.333 0.667 Na
0.959 0.667 0.333 Na
0.500 0.000 0.000 Ho
0.000 0.000 0.000 S
0.823 0.137 0.275 O
0.823 0.137 0.863 O
0.823 0.725 0.863 O
0.177 0.863 0.137 O
0.177 0.275 0.137 O
0.177 0.863 0.725 O
```

Values from the calculation:
The calculated volume is 160 Å³ per cell. Its total magnetization is 1.0 μB/f.u. The value obtained for the raw formation energy is -1598 meV per atom.

***

No. 3
Below is a geometry-optimized MgSc2Pt structure, with properties calculated at the PBE level.

POSCAR file:
```
MgSc2Pt
1.0
1.965 0.000 9.931
-0.983 1.702 9.931
-0.983 -1.702 9.931
Sc Mg Pt
2 1 1
Direct
0.894 0.894 0.894 Sc
0.106 0.106 0.106 Sc
0.000 0.000 0.000 Mg
0.500 0.500 0.500 Pt
```

Values from the calculation:
The formation enthalpy at 0 K comes out at -259 meV/atom. The calculated volume is 100 Å³ per cell. Its total magnetization is 0.0 μB/f.u.

***

No. 4
Below is a geometry-optimized TaAsRuF2 structure, with properties calculated at the PBE level.

POSCAR file:
```
TaAsRuF2
1.0
3.975 0.000 0.000
0.000 5.286 0.000
0.000 0.000 3.975
Ru As F Ta
1 1 2 1
Direct
0.500 0.500 0.500 Ru
0.000 0.500 0.000 As
0.000 0.000 0.500 F
0.500 0.000 0.000 F
0.000 0.000 0.000 Ta
```

Values from the calculation:
The calculated volume is 84 Å³ per cell. Its total magnetization is 2.2 μB/f.u. The value obtained for the raw formation energy is -702 meV per atom.

***

No. 5
Below is a geometry-optimized Ba12Ni3N5 structure, with properties calculated at the PBE level.

POSCAR file:
```
Ba12Ni3N5
1.0
-6.787 -8.856 -10.059
14.724 -2.977 0.165
-5.779 -2.556 13.629
Ni N Ba
12 20 48
Direct
0.750 0.375 0.125 Ni
0.875 0.750 0.125 Ni
0.375 0.750 0.625 Ni
0.250 0.125 0.375 Ni
0.875 0.125 0.250 Ni
0.375 0.625 0.250 Ni
0.625 0.375 0.750 Ni
0.125 0.875 0.750 Ni
0.750 0.875 0.625 Ni
0.625 0.250 0.375 Ni
0.125 0.250 0.875 Ni
0.250 0.625 0.875 Ni
0.125 0.375 0.250 N
0.000 0.500 0.000 N
0.000 0.000 0.000 N
0.375 0.250 0.125 N
0.500 0.000 0.500 N
0.500 0.500 0.000 N
0.125 0.750 0.375 N
0.750 0.125 0.875 N
0.750 0.625 0.375 N
0.375 0.125 0.750 N
0.625 0.875 0.250 N
0.500 0.500 0.500 N
0.500 0.000 0.000 N
0.000 0.000 0.500 N
0.250 0.375 0.625 N
0.250 0.875 0.125 N
0.000 0.500 0.500 N
0.875 0.250 0.625 N
0.625 0.750 0.875 N
0.875 0.625 0.750 N
0.704 0.127 0.025 Ba
0.321 0.525 0.399 Ba
0.975 0.373 0.296 Ba
0.525 0.204 0.127 Ba
0.577 0.704 0.679 Ba
0.975 0.601 0.179 Ba
0.321 0.796 0.423 Ba
0.101 0.923 0.127 Ba
0.601 0.975 0.679 Ba
0.704 0.577 0.179 Ba
0.796 0.475 0.373 Ba
0.821 0.899 0.025 Ba
0.127 0.704 0.525 Ba
0.373 0.399 0.077 Ba
0.077 0.899 0.373 Ba
0.423 0.127 0.601 Ba
0.077 0.179 0.204 Ba
0.475 0.679 0.101 Ba
0.821 0.923 0.296 Ba
0.127 0.423 0.101 Ba
0.373 0.975 0.796 Ba
0.601 0.627 0.423 Ba
0.899 0.821 0.525 Ba
0.796 0.321 0.923 Ba
0.399 0.373 0.577 Ba
0.101 0.179 0.475 Ba
0.204 0.679 0.077 Ba
0.179 0.077 0.704 Ba
0.627 0.025 0.204 Ba
0.873 0.577 0.899 Ba
0.525 0.321 0.899 Ba
0.577 0.873 0.399 Ba
0.923 0.821 0.796 Ba
0.923 0.101 0.627 Ba
0.873 0.296 0.475 Ba
0.179 0.101 0.975 Ba
0.627 0.601 0.923 Ba
0.399 0.025 0.321 Ba
0.296 0.423 0.821 Ba
0.204 0.525 0.627 Ba
0.899 0.077 0.873 Ba
0.679 0.204 0.577 Ba
0.475 0.796 0.873 Ba
0.025 0.399 0.821 Ba
0.423 0.296 0.321 Ba
0.025 0.627 0.704 Ba
0.679 0.475 0.601 Ba
0.296 0.873 0.975 Ba
```

Values from the calculation:
The calculated volume is 2610 Å³ per cell. Its total magnetization is 0.0 μB/f.u. The value obtained for the raw formation energy is -123 meV per atom.

***

No. 6
Below is a geometry-optimized BiSbRu2 structure, with properties calculated at the PBE level.

POSCAR file:
```
BiSbRu2
1.0
-1.098 2.616 3.772
-3.683 2.947 -0.163
-3.899 -0.957 2.481
Sb Bi Ru
1 1 2
Direct
0.000 0.000 0.000 Sb
0.500 0.500 0.500 Bi
0.250 0.250 0.250 Ru
0.750 0.750 0.750 Ru
```

Values from the calculation:
As for the energy above the most stable polymorph in this dataset: 0 meV per atom. The calculated volume is 74 Å³ per cell. Its total magnetization is 1.1 μB/f.u. The value obtained for the raw formation energy is 327 meV per atom.

***

Across the entries above, electronic total energy takes the values -33.3 -57.1 -21.3 -33.0 -338.0 -25.2 eV/cell, respectively.